First-principles (PBE) data for a geometry-optimized BaVGa2Ge structure, as listed in Alexandria.

Computed properties:
Formation energy (meV/atom): -301
Total magnetic moment (μB/f.u.): 0.00

abc: 4.9433 4.9433 4.8541
angles: 90.00 90.00 90.00
Space group P4/mmm (No. 123)
Asymmetric unit:
Ba  0.0000  0.0000  0.0000
V  0.5000  0.5000  0.5000
Ga  0.0000  0.5000  0.5000
Ge  0.5000  0.5000  0.0000